w) DFT (SCAN) results for a crystal of MgGaAu3 relaxed with PBEsol.

Properties
Volume ... 109 Å³ per cell
ρ ... 10456 kg/m3
Total moment ... 0.00 μB per formula unit
DOS at the Fermi energy ... 1.38 states/eV per cell
Space-group type ... Pm-3m

```
data_MgGaAu3
_cell_length_a 4.7736
_cell_length_b 4.7736
_cell_length_c 4.7736
_cell_angle_alpha 90.00
_cell_angle_beta 90.00
_cell_angle_gamma 90.00
_symmetry_space_group_name_H-M 'P 1'
_symmetry_Int_Tables_number 1
loop_
_symmetry_equiv_pos_as_xyz
'x,y,z'
loop_
_atom_site_label
_atom_site_type_symbol
_atom_site_fract_x
_atom_site_fract_y
_atom_site_fract_z
Mg1 Mg 0.5000 0.5000 0.5000
Au1 Au 0.0000 0.5000 0.0000
Au2 Au 0.0000 0.0000 0.5000
Au3 Au 0.5000 0.0000 0.0000
Ga1 Ga 0.0000 0.0000 0.0000
```

---

x) DFT (SCAN) results for a crystal of MgGaAu3 relaxed with PBEsol.

Properties
Volume ... 118 Å³ per cell
ρ ... 9641 kg/m3
Total moment ... 0.00 μB per formula unit
DOS at the Fermi energy ... 0.69 states/eV per cell
Space-group type ... Pm-3m

```
data_MgGaAu3
_cell_length_a 4.9045
_cell_length_b 4.9045
_cell_length_c 4.9045
_cell_angle_alpha 90.00
_cell_angle_beta 90.00
_cell_angle_gamma 90.00
_symmetry_space_group_name_H-M 'P 1'
_symmetry_Int_Tables_number 1
loop_
_symmetry_equiv_pos_as_xyz
'x,y,z'
loop_
_atom_site_label
_atom_site_type_symbol
_atom_site_fract_x
_atom_site_fract_y
_atom_site_fract_z
Mg1 Mg 0.0000 0.0000 0.0000
Au1 Au 0.0000 0.5000 0.0000
Au2 Au 0.0000 0.0000 0.5000
Au3 Au 0.5000 0.0000 0.0000
Ga1 Ga 0.5000 0.5000 0.5000
```

---

Short version: x) is the least stable of them.

---

w) DFT (SCAN) results for a crystal of NaGa2Au2 relaxed with PBEsol.

Properties
Volume ... 180 Å³ per cell
ρ ... 10237 kg/m3
Total moment ... 0.00 μB per formula unit
DOS at the Fermi energy ... 2.92 states/eV per cell
Space-group type ... P4/mbm

```
data_NaGa2Au2
_cell_length_a 2.7591
_cell_length_b 8.0882
_cell_length_c 8.0882
_cell_angle_alpha 90.00
_cell_angle_beta 90.00
_cell_angle_gamma 90.00
_symmetry_space_group_name_H-M 'P 1'
_symmetry_Int_Tables_number 1
loop_
_symmetry_equiv_pos_as_xyz
'x,y,z'
loop_
_atom_site_label
_atom_site_type_symbol
_atom_site_fract_x
_atom_site_fract_y
_atom_site_fract_z
Na1 Na 0.0000 0.0000 0.0000
Na2 Na 0.0000 0.5000 0.5000
Au1 Au 0.0000 0.3386 0.8386
Au2 Au 0.0000 0.8386 0.6614
Au3 Au 0.0000 0.6614 0.1614
Au4 Au 0.0000 0.1614 0.3386
Ga1 Ga 0.5000 0.1360 0.6360
Ga2 Ga 0.5000 0.6360 0.8640
Ga3 Ga 0.5000 0.8640 0.3640
Ga4 Ga 0.5000 0.3640 0.1360
```

---

x) DFT (SCAN) results for a crystal of NaGa2Au2 relaxed with PBEsol.

Properties
Volume ... 100 Å³ per cell
ρ ... 9201 kg/m3
Total moment ... 0.00 μB per formula unit
DOS at the Fermi energy ... 1.91 states/eV per cell
Space-group type ... I4/mmm

```
data_NaGa2Au2
_cell_length_a 4.1876
_cell_length_b 4.1876
_cell_length_c 6.4465
_cell_angle_alpha 108.95
_cell_angle_beta 108.95
_cell_angle_gamma 90.00
_symmetry_space_group_name_H-M 'P 1'
_symmetry_Int_Tables_number 1
loop_
_symmetry_equiv_pos_as_xyz
'x,y,z'
loop_
_atom_site_label
_atom_site_type_symbol
_atom_site_fract_x
_atom_site_fract_y
_atom_site_fract_z
Na1 Na 0.0000 0.0000 0.0000
Au1 Au 0.3831 0.3831 0.7662
Au2 Au 0.6169 0.6169 0.2338
Ga1 Ga 0.2500 0.7500 0.5000
Ga2 Ga 0.7500 0.2500 0.5000
```

---

Short version: w) is the least stable of them.

---

w) DFT (SCAN) results for a crystal of Ga2Pd2Au relaxed with PBEsol.

Properties
Volume ... 83 Å³ per cell
ρ ... 11001 kg/m3
Total moment ... 0.00 μB per formula unit
DOS at the Fermi energy ... 1.62 states/eV per cell
Space-group type ... I4/mmm

```
data_Ga2Pd2Au
_cell_length_a 3.8583
_cell_length_b 3.8583
_cell_length_c 6.2014
_cell_angle_alpha 108.12
_cell_angle_beta 108.12
_cell_angle_gamma 90.00
_symmetry_space_group_name_H-M 'P 1'
_symmetry_Int_Tables_number 1
loop_
_symmetry_equiv_pos_as_xyz
'x,y,z'
loop_
_atom_site_label
_atom_site_type_symbol
_atom_site_fract_x
_atom_site_fract_y
_atom_site_fract_z
Au1 Au 0.0000 0.0000 0.0000
Ga1 Ga 0.3916 0.3916 0.7833
Ga2 Ga 0.6084 0.6084 0.2167
Pd1 Pd 0.2500 0.7500 0.5000
Pd2 Pd 0.7500 0.2500 0.5000
```

---

x) DFT (SCAN) results for a crystal of Ga2Pd2Au relaxed with PBEsol.

Properties
Volume ... 152 Å³ per cell
ρ ... 12036 kg/m3
Total moment ... 0.00 μB per formula unit
DOS at the Fermi energy ... 3.55 states/eV per cell
Space-group type ... P4/mbm

```
data_Ga2Pd2Au
_cell_length_a 2.8573
_cell_length_b 7.2828
_cell_length_c 7.2828
_cell_angle_alpha 90.00
_cell_angle_beta 90.00
_cell_angle_gamma 90.00
_symmetry_space_group_name_H-M 'P 1'
_symmetry_Int_Tables_number 1
loop_
_symmetry_equiv_pos_as_xyz
'x,y,z'
loop_
_atom_site_label
_atom_site_type_symbol
_atom_site_fract_x
_atom_site_fract_y
_atom_site_fract_z
Au1 Au 0.0000 0.0000 0.0000
Au2 Au 0.0000 0.5000 0.5000
Ga1 Ga 0.5000 0.1600 0.6600
Ga2 Ga 0.5000 0.6600 0.8400
Ga3 Ga 0.5000 0.8400 0.3400
Ga4 Ga 0.5000 0.3400 0.1600
Pd1 Pd 0.0000 0.3615 0.8615
Pd2 Pd 0.0000 0.8615 0.6385
Pd3 Pd 0.0000 0.6385 0.1385
Pd4 Pd 0.0000 0.1385 0.3615
```

---

Short version: w) is the least stable of them.

---

w) DFT (SCAN) results for a crystal of Ga2SnAu2 relaxed with PBEsol.

Properties
Volume ... 99 Å³ per cell
ρ ... 10889 kg/m3
Total moment ... 0.00 μB per formula unit
DOS at the Fermi energy ... 1.42 states/eV per cell
Space-group type ... I4/mmm

```
data_Ga2SnAu2
_cell_length_a 4.4119
_cell_length_b 4.4119
_cell_length_c 5.9860
_cell_angle_alpha 111.62
_cell_angle_beta 111.62
_cell_angle_gamma 90.00
_symmetry_space_group_name_H-M 'P 1'
_symmetry_Int_Tables_number 1
loop_
_symmetry_equiv_pos_as_xyz
'x,y,z'
loop_
_atom_site_label
_atom_site_type_symbol
_atom_site_fract_x
_atom_site_fract_y
_atom_site_fract_z
Au1 Au 0.2500 0.7500 0.5000
Au2 Au 0.7500 0.2500 0.5000
Sn1 Sn 0.0000 0.0000 0.0000
Ga1 Ga 0.3811 0.3811 0.7621
Ga2 Ga 0.6189 0.6189 0.2379
```

---

x) DFT (SCAN) results for a crystal of Ga2SnAu2 relaxed with PBEsol.

Properties
Volume ... 96 Å³ per cell
ρ ... 11259 kg/m3
Total moment ... 0.00 μB per formula unit
DOS at the Fermi energy ... 2.15 states/eV per cell
Space-group type ... I4/mmm

```
data_Ga2SnAu2
_cell_length_a 3.9451
_cell_length_b 3.9451
_cell_length_c 6.7799
_cell_angle_alpha 106.91
_cell_angle_beta 106.91
_cell_angle_gamma 90.00
_symmetry_space_group_name_H-M 'P 1'
_symmetry_Int_Tables_number 1
loop_
_symmetry_equiv_pos_as_xyz
'x,y,z'
loop_
_atom_site_label
_atom_site_type_symbol
_atom_site_fract_x
_atom_site_fract_y
_atom_site_fract_z
Au1 Au 0.3893 0.3893 0.7786
Au2 Au 0.6107 0.6107 0.2214
Sn1 Sn 0.0000 0.0000 0.0000
Ga1 Ga 0.2500 0.7500 0.5000
Ga2 Ga 0.7500 0.2500 0.5000
```

---

Short version: w) is the least stable of them.

---

w) DFT (SCAN) results for a crystal of HAu2N relaxed with PBEsol.

Properties
Volume ... 99 Å³ per cell
ρ ... 13723 kg/m3
Total moment ... 0.00 μB per formula unit
DOS at the Fermi energy ... 3.06 states/eV per cell
Space-group type ... I-42d

```
data_HAu2N
_cell_length_a 4.5967
_cell_length_b 4.5967
_cell_length_c 5.7011
_cell_angle_alpha 113.77
_cell_angle_beta 113.77
_cell_angle_gamma 90.00
_symmetry_space_group_name_H-M 'P 1'
_symmetry_Int_Tables_number 1
loop_
_symmetry_equiv_pos_as_xyz
'x,y,z'
loop_
_atom_site_label
_atom_site_type_symbol
_atom_site_fract_x
_atom_site_fract_y
_atom_site_fract_z
H1 H 0.7500 0.2500 0.5000
H2 H 0.5000 0.5000 0.0000
Au1 Au 0.4219 0.8750 0.2500
Au2 Au 0.8281 0.3750 0.2500
Au3 Au 0.1250 0.1719 0.7500
Au4 Au 0.6250 0.5781 0.7500
N1 N 0.2500 0.7500 0.5000
N2 N 0.0000 0.0000 0.0000
```

---

x) DFT (SCAN) results for a crystal of HAu2N relaxed with PBEsol.

Properties
Volume ... 46 Å³ per cell
ρ ... 14854 kg/m3
Total moment ... 0.00 μB per formula unit
DOS at the Fermi energy ... 2.33 states/eV per cell
Space-group type ... Fm-3m

```
data_HAu2N
_cell_length_a 4.0136
_cell_length_b 4.0136
_cell_length_c 4.0136
_cell_angle_alpha 60.00
_cell_angle_beta 60.00
_cell_angle_gamma 60.00
_symmetry_space_group_name_H-M 'P 1'
_symmetry_Int_Tables_number 1
loop_
_symmetry_equiv_pos_as_xyz
'x,y,z'
loop_
_atom_site_label
_atom_site_type_symbol
_atom_site_fract_x
_atom_site_fract_y
_atom_site_fract_z
H1 H 0.0000 0.0000 0.0000
Au1 Au 0.2500 0.2500 0.2500
Au2 Au 0.7500 0.7500 0.7500
N1 N 0.5000 0.5000 0.5000
```

---

Short version: x) is the least stable of them.

---

w) DFT (SCAN) results for a crystal of HfAu3O relaxed with PBEsol.

Properties
Volume ... 135 Å³ per cell
ρ ... 9644 kg/m3
Total moment ... 1.40 μB per formula unit
DOS at the Fermi energy ... 6.78 states/eV per cell
Space-group type ... Pm-3m

```
data_HfAu3O
_cell_length_a 5.1329
_cell_length_b 5.1329
_cell_length_c 5.1329
_cell_angle_alpha 90.00
_cell_angle_beta 90.00
_cell_angle_gamma 90.00
_symmetry_space_group_name_H-M 'P 1'
_symmetry_Int_Tables_number 1
loop_
_symmetry_equiv_pos_as_xyz
'x,y,z'
loop_
_atom_site_label
_atom_site_type_symbol
_atom_site_fract_x
_atom_site_fract_y
_atom_site_fract_z
Hf1 Hf 0.0000 0.0000 0.0000
Au1 Au 0.0000 0.5000 0.0000
Au2 Au 0.0000 0.0000 0.5000
Au3 Au 0.5000 0.0000 0.0000
O1 O 0.5000 0.5000 0.5000
```

---

x) DFT (SCAN) results for a crystal of HfAu3O relaxed with PBEsol.

Properties
Volume ... 85 Å³ per cell
ρ ... 15275 kg/m3
Total moment ... 0.00 μB per formula unit
DOS at the Fermi energy ... 5.61 states/eV per cell
Space-group type ... Pm-3m

```
data_HfAu3O
_cell_length_a 4.4034
_cell_length_b 4.4034
_cell_length_c 4.4034
_cell_angle_alpha 90.00
_cell_angle_beta 90.00
_cell_angle_gamma 90.00
_symmetry_space_group_name_H-M 'P 1'
_symmetry_Int_Tables_number 1
loop_
_symmetry_equiv_pos_as_xyz
'x,y,z'
loop_
_atom_site_label
_atom_site_type_symbol
_atom_site_fract_x
_atom_site_fract_y
_atom_site_fract_z
Hf1 Hf 0.5000 0.5000 0.5000
Au1 Au 0.0000 0.5000 0.0000
Au2 Au 0.0000 0.0000 0.5000
Au3 Au 0.5000 0.0000 0.0000
O1 O 0.0000 0.0000 0.0000
```

---

Short version: w) is the least stable of them.